(1)
## V3O5F (PBEsol)

Data for a relaxed structure of V3O5F.

Calculated values
Raw formation energy in kJ per mole of atoms: -239.0
DOS(E_F) in states/eV/atom: 0.376
Relative energy among the computed polymorphs in meV/atom: 0
Total magnetization in μB per formula unit: 4.0
Space group: P2_1, No. 4

a = 4.5551 Å, b = 5.3957 Å, c = 7.3309 Å
α = 96.09°, β = 90.00°, γ = 90.00°
Each line ends with the local moment (μB).
Fractional coordinates of all 18 atoms:
V  0.4701  0.5804  0.8327  1.40
V  0.9701  0.4196  0.1673  1.40
V  0.0188  0.1007  0.8413  1.40
V  0.5188  0.8993  0.1587  1.40
V  0.5113  0.2491  0.5228  1.27
V  0.0113  0.7509  0.4772  1.27
O  0.1925  0.0445  0.6007  -0.06
O  0.6925  0.9555  0.3993  -0.06
O  0.2054  0.7143  0.2615  -0.06
O  0.7054  0.2857  0.7385  -0.06
O  0.2034  0.3856  0.9361  -0.08
O  0.7034  0.6144  0.0639  -0.08
O  0.3036  0.8870  0.9315  -0.05
O  0.8036  0.1130  0.0685  -0.05
O  0.2948  0.5506  0.5983  -0.06
O  0.7948  0.4494  0.4017  -0.06
F  0.2997  0.2152  0.2698  0.01
F  0.7997  0.7848  0.7302  0.01

***

(2)
## V4O5F7 (PBEsol)

Data for a relaxed structure of V4O5F7.

Calculated values
Raw formation energy in kJ per mole of atoms: -257.1
DOS(E_F) in states/eV/atom: 0.254
Relative energy among the computed polymorphs in meV/atom: 10
Total magnetization in μB per formula unit: 3.0
Space group: C2, No. 5

a = 5.1832 Å, b = 5.2056 Å, c = 9.0842 Å
α = 106.58°, β = 90.00°, γ = 119.86°
Each line ends with the local moment (μB).
Fractional coordinates of all 16 atoms:
V  0.2165  0.7221  0.6121  0.97
V  0.4945  0.2779  0.3879  0.97
V  0.8024  0.7888  0.1297  0.62
V  0.0137  0.2112  0.8703  0.62
O  0.1543  0.0342  0.7432  -0.07
O  0.1201  0.9658  0.2568  -0.07
O  0.8828  0.5409  0.4906  -0.09
O  0.9382  0.0000  0.0000  -0.07
O  0.3419  0.4591  0.5094  -0.09
F  0.6574  0.0427  0.2380  0.00
F  0.6147  0.9573  0.7620  0.00
F  0.0538  0.4947  0.7539  0.01
F  0.4520  0.0000  0.5000  0.02
F  0.8236  0.4486  0.0077  0.00
F  0.5591  0.5053  0.2461  0.01
F  0.3750  0.5514  0.9923  0.00

***

(3)
## V3OF11 (PBEsol)

Data for a relaxed structure of V3OF11.

Calculated values
Raw formation energy in kJ per mole of atoms: -264.3
DOS(E_F) in states/eV/atom: 0.028
Relative energy among the computed polymorphs in meV/atom: 0
Total magnetization in μB per formula unit: 2.0
Space group: P2_1, No. 4

a = 5.0803 Å, b = 5.3077 Å, c = 14.7713 Å
α = 100.20°, β = 90.00°, γ = 90.00°
Each line ends with the local moment (μB).
Fractional coordinates of all 30 atoms:
V  0.4304  0.2276  0.9939  0.00
V  0.0068  0.0843  0.6662  0.98
V  0.5068  0.9157  0.3338  0.98
V  0.9304  0.7724  0.0061  0.00
V  0.5069  0.5843  0.6661  0.98
V  0.0069  0.4157  0.3339  0.98
O  0.6857  0.9719  0.0269  0.00
O  0.1857  0.0281  0.9731  0.00
F  0.6971  0.2351  0.3616  0.02
F  0.1971  0.0961  0.3062  0.02
F  0.6061  0.1773  0.8905  0.00
F  0.9089  0.0492  0.5522  -0.04
F  0.6102  0.8818  0.2206  -0.04
F  0.1102  0.1182  0.7794  -0.04
F  0.4089  0.9508  0.4478  -0.04
F  0.1061  0.8227  0.1095  0.00
F  0.6971  0.9039  0.6938  0.02
F  0.8173  0.7339  0.3616  0.02
F  0.7899  0.4811  0.0291  0.00
F  0.1971  0.7649  0.6384  0.02
F  0.3173  0.5977  0.3063  0.02
F  0.9066  0.6780  0.8874  0.00
F  0.6102  0.5508  0.5527  -0.04
F  0.9096  0.3804  0.2200  -0.04
F  0.4096  0.6196  0.7800  -0.04
F  0.1102  0.4492  0.4473  -0.04
F  0.4066  0.3220  0.1126  0.00
F  0.8173  0.4023  0.6937  0.02
F  0.2899  0.5189  0.9709  0.00
F  0.3173  0.2661  0.6384  0.02

***

(4)
## V2O3F (PBEsol)

Data for a relaxed structure of V2O3F.

Calculated values
Raw formation energy in kJ per mole of atoms: -241.2
DOS(E_F) in states/eV/atom: 0.346
Relative energy among the computed polymorphs in meV/atom: 0
Total magnetization in μB per formula unit: 3.0
Space group: Amm2, No. 38

a = 2.8591 Å, b = 4.6186 Å, c = 4.6186 Å
α = 93.30°, β = 90.00°, γ = 90.00°
Each line ends with the local moment (μB).
Fractional coordinates of all 6 atoms:
F  0.5000  0.7990  0.2010  0.02
O  0.5000  0.2027  0.7973  -0.08
O  0.0000  0.7016  0.7023  -0.06
O  0.0000  0.2977  0.2984  -0.06
V  0.0000  0.0200  0.9800  1.58
V  0.5000  0.4790  0.5210  1.41

***

(5)
## VOF3 (PBEsol)

Data for a relaxed structure of VOF3.

Calculated values
Raw formation energy in kJ per mole of atoms: -254.2
DOS(E_F) in states/eV/atom: 0.000
Total magnetization in μB per formula unit: 0.0
Space group: Pc, No. 7

a = 5.4991 Å, b = 5.1807 Å, c = 5.1827 Å
α = 63.41°, β = 90.00°, γ = 90.00°
Fractional coordinates of all 10 atoms:
V  0.7250  0.9408  0.0606
V  0.2750  0.4408  0.5606
O  0.4640  0.2202  0.7932
O  0.5360  0.7202  0.2932
F  0.9908  0.2820  0.7032
F  0.7294  0.8378  0.7836
F  0.0092  0.7820  0.2032
F  0.2427  0.7191  0.6594
F  0.2706  0.3378  0.2836
F  0.7573  0.2191  0.1594

***

(6)
## VOF3 (PBEsol)

Data for a relaxed structure of VOF3.

Calculated values
Raw formation energy in kJ per mole of atoms: -250.3
DOS(E_F) in states/eV/atom: 0.000
Total magnetization in μB per formula unit: 0.0
Space group: P4_1, No. 76

a = 5.8913 Å, b = 5.8913 Å, c = 7.6967 Å
α = 90.00°, β = 90.00°, γ = 90.00°
Fractional coordinates of all 20 atoms:
V  0.0045  0.2757  0.0214
V  0.2757  0.9955  0.7714
V  0.7243  0.0045  0.2714
V  0.9955  0.7243  0.5214
O  0.0335  0.7669  0.7329
O  0.2331  0.0335  0.9829
O  0.7669  0.9665  0.4829
O  0.9665  0.2331  0.2329
F  0.0159  0.2087  0.7651
F  0.2160  0.5452  0.4686
F  0.2221  0.4697  0.0143
F  0.2087  0.9841  0.5151
F  0.4548  0.2160  0.7186
F  0.4697  0.7779  0.7643
F  0.5303  0.2221  0.2643
F  0.5452  0.7840  0.2186
F  0.7913  0.0159  0.0151
F  0.7779  0.5303  0.5143
F  0.7840  0.4548  0.9686
F  0.9841  0.7913  0.2651

***

(7)
## V2O3F (PBEsol)

Data for a relaxed structure of V2O3F.

Calculated values
Raw formation energy in kJ per mole of atoms: -237.5
DOS(E_F) in states/eV/atom: 0.431
Relative energy among the computed polymorphs in meV/atom: 38
Total magnetization in μB per formula unit: 2.5
Space group: Cmmm, No. 65

a = 5.6895 Å, b = 6.3511 Å, c = 7.2472 Å
α = 90.00°, β = 113.11°, γ = 90.00°
Each line ends with the local moment (μB).
Fractional coordinates of all 24 atoms:
V  0.7883  0.0000  0.0000  0.54
V  0.2117  0.0000  0.0000  0.54
V  0.2460  0.0000  0.4920  1.32
V  0.7540  0.0000  0.5080  1.32
V  0.0000  0.5000  0.0000  1.60
V  0.5000  0.5000  0.0000  1.39
V  0.0000  0.5000  0.5000  1.54
V  0.5000  0.5000  0.5000  1.54
O  0.8941  0.0000  0.7883  -0.05
O  0.2492  0.7061  0.0000  -0.04
O  0.7508  0.7061  0.0000  -0.04
O  0.5000  0.7985  0.5000  -0.06
O  0.7508  0.2939  0.0000  -0.04
O  0.2492  0.2939  0.0000  -0.04
O  0.0000  0.7985  0.5000  -0.06
O  0.3493  0.5000  0.6985  -0.04
O  0.1059  0.0000  0.2117  -0.05
O  0.6507  0.5000  0.3015  -0.04
O  0.0000  0.2015  0.5000  -0.06
O  0.5000  0.2015  0.5000  -0.06
F  0.4023  0.0000  0.8047  0.00
F  0.5977  0.0000  0.1953  0.00
F  0.8531  0.5000  0.7061  0.01
F  0.1469  0.5000  0.2939  0.01

***

(8)
## V3O5F (PBEsol)

Data for a relaxed structure of V3O5F.

Calculated values
Raw formation energy in kJ per mole of atoms: -237.3
DOS(E_F) in states/eV/atom: 0.428
Relative energy among the computed polymorphs in meV/atom: 18
Total magnetization in μB per formula unit: 4.0
Space group: Pm, No. 6

a = 2.8435 Å, b = 6.4561 Å, c = 10.2660 Å
α = 108.31°, β = 90.00°, γ = 90.00°
Each line ends with the local moment (μB).
Fractional coordinates of all 18 atoms:
V  0.0000  0.0064  0.0177  1.45
V  0.5000  0.1899  0.3429  1.61
V  0.5000  0.4963  0.9943  1.22
V  0.0000  0.6488  0.3236  1.39
V  0.0000  0.3309  0.6694  1.25
V  0.5000  0.8218  0.6461  1.12
O  0.5000  0.0695  0.1432  -0.06
O  0.0000  0.7030  0.9993  -0.06
O  0.0000  0.2955  0.0014  -0.06
O  0.0000  0.6331  0.6641  -0.04
O  0.5000  0.6026  0.1963  -0.05
O  0.5000  0.2644  0.5339  -0.06
O  0.5000  0.7368  0.4609  -0.07
O  0.5000  0.3997  0.8003  -0.06
O  0.0000  0.3725  0.3359  -0.07
O  0.0000  0.0300  0.6679  -0.05
F  0.0000  0.9664  0.3352  0.02
F  0.5000  0.9326  0.8675  0.01

***

(9)
## VOF3 (PBEsol)

Data for a relaxed structure of VOF3.

Calculated values
Raw formation energy in kJ per mole of atoms: -252.0
DOS(E_F) in states/eV/atom: 0.000
Total magnetization in μB per formula unit: 0.0
Space group: C2, No. 5

a = 4.5408 Å, b = 4.5855 Å, c = 7.0927 Å
α = 108.86°, β = 109.06°, γ = 90.00°
Fractional coordinates of all 10 atoms:
V  0.2064  0.3958  0.3686
V  0.7936  0.0271  0.6314
O  0.5216  0.7667  0.5995
O  0.4784  0.1672  0.4005
F  0.2809  0.5549  0.1956
F  0.9232  0.7787  0.4144
F  0.1201  0.9770  0.8217
F  0.7191  0.3594  0.8044
F  0.0768  0.3643  0.5856
F  0.8799  0.1553  0.1783

***

(10)
## V3O4F2 (PBEsol)

Data for a relaxed structure of V3O4F2.

Calculated values
Raw formation energy in kJ per mole of atoms: -236.4
DOS(E_F) in states/eV/atom: 0.561
Relative energy among the computed polymorphs in meV/atom: 72
Total magnetization in μB per formula unit: 5.0
Space group: C2/m, No. 12

a = 5.4591 Å, b = 5.4591 Å, c = 7.3200 Å
α = 69.08°, β = 69.08°, γ = 70.84°
Each line ends with the local moment (μB).
Fractional coordinates of all 18 atoms:
V  0.6639  0.6639  0.8318  1.67
V  0.0000  0.0000  0.0000  1.70
V  0.6881  0.6881  0.3360  1.64
V  0.0000  0.0000  0.5000  1.47
V  0.3361  0.3361  0.1682  1.67
V  0.3119  0.3119  0.6640  1.64
O  0.2995  0.7005  0.0000  -0.08
O  0.9630  0.3714  0.3348  -0.06
O  0.0944  0.0944  0.7022  -0.06
O  0.9056  0.9056  0.2978  -0.06
O  0.0370  0.6286  0.6652  -0.06
O  0.7005  0.2995  0.0000  -0.08
O  0.3714  0.9630  0.3348  -0.06
O  0.6286  0.0370  0.6652  -0.06
F  0.7658  0.7658  0.0311  0.01
F  0.4356  0.4356  0.3644  0.01
F  0.2342  0.2342  0.9689  0.01
F  0.5644  0.5644  0.6356  0.01

***

(11)
## VOF3 (PBEsol)

Data for a relaxed structure of VOF3.

Calculated values
Raw formation energy in kJ per mole of atoms: -246.3
DOS(E_F) in states/eV/atom: 0.000
Total magnetization in μB per formula unit: 0.0
Space group: Pnc2, No. 30

a = 4.8831 Å, b = 5.0971 Å, c = 11.6312 Å
α = 90.00°, β = 90.00°, γ = 90.00°
Fractional coordinates of all 20 atoms:
V  0.0000  0.0000  0.0855
V  0.5000  0.0000  0.9350
V  0.0000  0.5000  0.5855
V  0.5000  0.5000  0.4350
O  0.2991  0.1700  0.0435
O  0.2991  0.3300  0.5435
O  0.7009  0.6700  0.5435
O  0.7009  0.8300  0.0435
F  0.4274  0.2348  0.8313
F  0.8714  0.2266  0.1795
F  0.8251  0.2089  0.9517
F  0.8251  0.2911  0.4517
F  0.8714  0.2734  0.6795
F  0.4274  0.2652  0.3313
F  0.5726  0.7348  0.3313
F  0.1286  0.7266  0.6795
F  0.1749  0.7089  0.4517
F  0.1749  0.7911  0.9517
F  0.1286  0.7734  0.1795
F  0.5726  0.7652  0.8313

***

(12)
## V3OF11 (PBEsol)

Data for a relaxed structure of V3OF11.

Calculated values
Raw formation energy in kJ per mole of atoms: -261.8
DOS(E_F) in states/eV/atom: 0.019
Relative energy among the computed polymorphs in meV/atom: 26
Total magnetization in μB per formula unit: 2.0
Space group: P1, No. 1

a = 5.0465 Å, b = 5.3828 Å, c = 14.5704 Å
α = 99.50°, β = 89.92°, γ = 89.91°
Each line ends with the local moment (μB).
Fractional coordinates of all 30 atoms:
V  0.0010  0.0016  0.9996  0.97
V  0.5021  0.1463  0.3345  0.78
V  0.9518  0.3375  0.6692  0.25
V  0.5005  0.5017  0.0003  0.97
V  0.9791  0.6149  0.3310  0.24
V  0.4608  0.8367  0.6658  0.84
O  0.9068  0.3838  0.7788  -0.03
O  0.7895  0.3660  0.3081  -0.04
F  0.7640  0.0461  0.6319  0.00
F  0.6947  0.1847  0.9715  0.02
F  0.2665  0.1251  0.6992  0.01
F  0.9125  0.0412  0.1160  -0.04
F  0.6203  0.2001  0.4475  -0.03
F  0.4141  0.1312  0.2184  -0.03
F  0.1503  0.3177  0.5646  0.00
F  0.4135  0.4714  0.8843  -0.04
F  0.6837  0.5298  0.6312  0.00
F  0.8110  0.6931  0.9724  0.02
F  0.1956  0.3199  0.0281  0.02
F  0.2856  0.4514  0.3643  0.01
F  0.1755  0.6593  0.6980  0.01
F  0.6178  0.5305  0.1134  -0.04
F  0.9110  0.7169  0.4479  0.00
F  0.6216  0.8614  0.7721  -0.03
F  0.1172  0.6327  0.2226  0.00
F  0.3961  0.7995  0.5484  -0.03
F  0.1202  0.9769  0.8870  -0.04
F  0.7097  0.8483  0.3037  0.02
F  0.3099  0.8126  0.0287  0.02
F  0.2176  0.9617  0.3614  0.02